A relaxed La3Sb2Br crystal. Source: Alexandria via LeMat-Bulk, functional PBE-GGA.

Values from the calculation:
Raw total energy: -5.4543 eV/atom

a b c (Å): 9.118 12.887 27.396
angles (deg): 90.00 90.00 90.00
Space group Fddd (No. 70, origin choice 2)
Inequivalent atoms, fractional coordinates:
La  0.116  0.375  0.375 (multiplicity 16)
La  0.120  0.371  0.207 (multiplicity 32)
Sb  0.125  0.125  0.041 (multiplicity 16)
Sb  0.125  0.125  0.376 (multiplicity 16)
Br  0.125  0.125  0.542 (multiplicity 16)

=====

A relaxed MnCrRu4 crystal. Source: Alexandria via LeMat-Bulk, functional PBE-GGA.

Values from the calculation:
DFT formation energy: 33 meV per atom

a b c (Å): 4.225 2.687 13.844
angles (deg): 90.00 90.00 90.00
Space group Amm2 (No. 38)
Inequivalent atoms, fractional coordinates:
Mn  0.000  0.000  0.000 (multiplicity 2)
Cr  0.500  0.000  0.222 (multiplicity 2)
Ru  0.000  0.000  0.333 (multiplicity 2)
Ru  0.000  0.000  0.666 (multiplicity 2)
Ru  0.500  0.000  0.554 (multiplicity 2)
Ru  0.500  0.000  0.889 (multiplicity 2)

=====

A relaxed LaSnBr6 crystal. Source: Alexandria via LeMat-Bulk, functional PBE-GGA.

Values from the calculation:
Raw total energy: -3.6069 eV/atom

a b c (Å): 7.1596 7.1596 19.6927
angles (deg): 90.00 90.00 120.00
Space group R-3 (No. 148, hexagonal axes)
Inequivalent atoms, fractional coordinates:
La  0.0000  0.0000  0.0000 (multiplicity 3)
Sn  0.0000  0.0000  0.5000 (multiplicity 3)
Br  0.0032  0.3259  0.4190 (multiplicity 18)

=====

A relaxed Cs4Au2Cl crystal. Source: Alexandria via LeMat-Bulk, functional PBE-GGA.

Values from the calculation:
Raw total energy: -2.3730 eV/atom

a b c (Å): 6.831 6.831 17.066
angles (deg): 90.00 90.00 90.00
Space group I4/mmm (No. 139)
Inequivalent atoms, fractional coordinates:
Cs  0.000  0.000  0.201 (multiplicity 4)
Cs  0.000  0.500  0.000 (multiplicity 4)
Au  0.000  0.000  0.414 (multiplicity 4)
Cl  0.000  0.000  0.000 (multiplicity 2)

=====

A relaxed Ca2TlIn2 crystal. Source: Alexandria via LeMat-Bulk, functional PBE-GGA.

Values from the calculation:
DFT formation energy: -318 meV per atom

a b c (Å): 8.456 8.456 4.194
angles (deg): 90.00 90.00 90.00
Space group P4/mbm (No. 127)
Inequivalent atoms, fractional coordinates:
Ca  0.173  0.327  0.000 (multiplicity 4)
Tl  0.000  0.000  0.500 (multiplicity 2)
In  0.125  0.625  0.500 (multiplicity 4)

=====

A relaxed LiSmPuZn crystal. Source: Alexandria via LeMat-Bulk, functional PBE-GGA.

Values from the calculation:
DFT formation energy: 80 meV per atom

a b c (Å): 7.286 7.286 7.286
angles (deg): 90.00 90.00 90.00
Space group F-43m (No. 216)
Inequivalent atoms, fractional coordinates:
Li  0.000  0.000  0.000 (multiplicity 4)
Sm  0.250  0.250  0.750 (multiplicity 4)
Pu  0.250  0.250  0.250 (multiplicity 4)
Zn  0.000  0.000  0.500 (multiplicity 4)